MgRe2Pt | SCAN | single point on PBEsol structure

Calculated values
Calculated volume = 15.2 A^3/atom
Energy of formation = 161 meV/atom
Calculated total energy = -216.719 eV for the cell shown
Spin magnetization = 0.00 μB per formula unit
DOS(E_F) = 2.03 states/eV/cell

CIF file:
```
data_MgRe2Pt
_symmetry_space_group_name_H-M 'P 1'
_symmetry_Int_Tables_number 1
_cell_length_a 9.4018
_cell_length_b 9.4018
_cell_length_c 9.4018
_cell_angle_alpha 16.84
_cell_angle_beta 16.84
_cell_angle_gamma 16.84
loop_
_symmetry_equiv_pos_as_xyz
'x,y,z'
loop_
_atom_site_label
_atom_site_fract_x
_atom_site_fract_y
_atom_site_fract_z
Mg1 0.0000 0.0000 0.0000
Re1 0.2472 0.2472 0.2472
Re2 0.7528 0.7528 0.7528
Pt1 0.5000 0.5000 0.5000
```